The following is a GGA-PBE calculation of TmTaNbC3 after structural relaxation, from the Alexandria database.

Cell lengths 3.3131, 5.5175, 8.5204 Å; angles 101.62, 90.00, 90.00 degrees
Last column: nearest neighbours and their distance in Å.
Element x y z (fractional)
C 0.2500 0.9670 0.8507  3 Ta 2.15-2.28, 1 Nb 2.19
C 0.7500 0.0330 0.1493  3 Ta 2.15-2.28, 1 Nb 2.19
C 0.2500 0.7570 0.4886  3 Nb 2.13-2.23
C 0.2500 0.4475 0.8452  3 Ta 2.17-2.35, 1 Nb 2.19
C 0.7500 0.2430 0.5114  3 Nb 2.13-2.23
C 0.7500 0.5525 0.1548  3 Ta 2.17-2.35, 1 Nb 2.19
Nb 0.2500 0.1375 0.6396  5 C 2.13-2.23
Nb 0.7500 0.8625 0.3604  5 C 2.13-2.23
Ta 0.7500 0.2345 0.9579  6 C 2.15-2.35
Ta 0.2500 0.7655 0.0421  6 C 2.15-2.35
Tm 0.7500 0.6508 0.6941  7 C 2.46-2.58
Tm 0.2500 0.3492 0.3059  7 C 2.46-2.58

Values from the calculation:
* VASP energy: -9.429 eV/atom



The following is a GGA-PBE calculation of U4TaNb3C8 after structural relaxation, from the Alexandria database.

Cell lengths 6.5301, 6.7626, 6.5300 Å; angles 118.87, 120.00, 90.00 degrees
Last column: nearest neighbours and their distance in Å.
Element x y z (fractional)
Nb 0.5000 0.5000 0.5000  6 C 2.29
Nb 0.5000 0.5000 0.0000  6 C 2.29
Nb 0.0000 0.5000 0.5000  6 C 2.29
C 0.7583 0.2716 0.5167  1 Ta 2.27, 2 Nb 2.29, 3 U 2.42-2.43
C 0.7584 0.2716 0.0132  1 Ta 2.27, 2 Nb 2.29, 3 U 2.42-2.43
C 0.2566 0.2699 0.5133  3 Nb 2.29, 3 U 2.42
C 0.7434 0.7301 0.4867  3 Nb 2.29, 3 U 2.42
C 0.2417 0.7284 0.4833  1 Ta 2.27, 2 Nb 2.29, 3 U 2.42-2.43
C 0.7451 0.7284 0.9868  1 Ta 2.27, 2 Nb 2.29, 3 U 2.42-2.43
C 0.2416 0.7284 0.9868  1 Ta 2.27, 2 Nb 2.29, 3 U 2.42-2.43
C 0.2549 0.2716 0.0132  1 Ta 2.27, 2 Nb 2.29, 3 U 2.42-2.43
U 0.5000 0.0000 0.0000  6 C 2.43
U 0.0000 0.0000 0.0000  6 C 2.42
U 0.5000 0.0000 0.5000  6 C 2.42
U 0.0000 0.0000 0.5000  6 C 2.42
Ta 0.0000 0.5000 0.0000  6 C 2.27

Values from the calculation:
* VASP energy: -10.504 eV/atom



The following is a GGA-PBE calculation of U2TaNbC4 after structural relaxation, from the Alexandria database.

Cell lengths 3.2679, 5.6406, 5.9201 Å; angles 108.56, 90.00, 90.00 degrees
Last column: nearest neighbours and their distance in Å.
Element x y z (fractional)
C 0.5000 0.2402 0.2268  2 Ta 2.27, 1 Nb 2.28, 3 U 2.42-2.43
C 0.0000 0.7454 0.2287  1 Ta 2.27, 2 Nb 2.29, 3 U 2.42-2.43
C 0.0000 0.2546 0.7713  1 Ta 2.27, 2 Nb 2.29, 3 U 2.42-2.43
C 0.5000 0.7598 0.7732  2 Ta 2.27, 1 Nb 2.28, 3 U 2.42-2.43
Nb 0.5000 0.5000 0.0000  6 C 2.28-2.29
U 0.5000 0.0000 0.5000  6 C 2.42
U 0.0000 0.5000 0.5000  6 C 2.43
Ta 0.0000 0.0000 0.0000  6 C 2.27

Values from the calculation:
* VASP energy: -10.629 eV/atom



The following is a GGA-PBE calculation of UTaNb2C4 after structural relaxation, from the Alexandria database.

Cell lengths 3.2332, 5.9726, 11.4318 Å; angles 90.00, 90.00, 105.70 degrees
Last column: nearest neighbours and their distance in Å.
Element x y z (fractional)
Nb 0.3692 0.7384 0.9698  3 C 2.10-2.23
Nb 0.3692 0.7384 0.5302  3 C 2.10-2.23
Nb 0.6308 0.2616 0.0302  3 C 2.10-2.23
Nb 0.6308 0.2616 0.4698  3 C 2.10-2.23
C 0.4801 0.9603 0.7500  2 Ta 2.08
C 0.0000 0.0000 0.5000  4 Nb 2.23
C 0.5199 0.0397 0.2500  2 Ta 2.08
C 0.2574 0.5148 0.3846  1 Ta 2.09, 1 Nb 2.10
C 0.7426 0.4852 0.8846  1 Ta 2.09, 1 Nb 2.10
C 0.7426 0.4852 0.6154  1 Ta 2.09, 1 Nb 2.10
C 0.2574 0.5148 0.1154  1 Ta 2.09, 1 Nb 2.10
C 0.0000 0.0000 0.0000  4 Nb 2.23
Ta 0.8657 0.7314 0.7500  4 C 2.08-2.09
Ta 0.1343 0.2686 0.2500  4 C 2.08-2.09
U 0.1349 0.2698 0.7500  6 C 2.40-2.55
U 0.8651 0.7302 0.2500  6 C 2.40-2.55

Values from the calculation:
* VASP energy: -10.190 eV/atom



The following is a GGA-PBE calculation of Ta2NbVC4 after structural relaxation, from the Alexandria database.

Cell lengths 3.0824, 5.6781, 10.9693 Å; angles 90.00, 90.00, 105.75 degrees
Last column: nearest neighbours and their distance in Å.
Element x y z (fractional)
C 0.2535 0.5069 0.1260  1 V 2.03, 3 Ta 2.13-2.27
C 0.2535 0.5069 0.3740  1 V 2.03, 3 Ta 2.13-2.27
C 0.7465 0.4931 0.8740  1 V 2.03, 3 Ta 2.13-2.27
C 0.0000 0.0000 0.5000  4 Ta 2.15
C 0.7465 0.4931 0.6260  1 V 2.03, 3 Ta 2.13-2.27
C 0.0000 0.0000 0.0000  4 Ta 2.15
C 0.5064 0.0127 0.2500  2 V 1.95
C 0.4936 0.9873 0.7500  2 V 1.95
Ta 0.3667 0.7334 0.9678  5 C 2.13-2.27
Ta 0.6333 0.2666 0.0322  5 C 2.13-2.27
Ta 0.3667 0.7334 0.5322  5 C 2.13-2.27
Ta 0.6333 0.2666 0.4678  5 C 2.13-2.27
Nb 0.8500 0.7001 0.2500  6 C 2.30-2.31
Nb 0.1500 0.2999 0.7500  6 C 2.30-2.31
V 0.1156 0.2312 0.2500  4 C 1.95-2.03
V 0.8844 0.7688 0.7500  4 C 1.95-2.03

Values from the calculation:
* VASP energy: -10.170 eV/atom



The following is a GGA-PBE calculation of YTaNbC2 after structural relaxation, from the Alexandria database.

Cell lengths 4.2623, 5.3135, 4.2623 Å; angles 90.00, 90.00, 90.00 degrees
Last column: nearest neighbours and their distance in Å.
Element x y z (fractional)
Y 0.0000 0.0000 0.0000  4 C 2.13
C 0.5000 0.0000 0.0000  2 Y 2.13
C 0.0000 0.0000 0.5000  2 Y 2.13
Ta 0.5000 0.5000 0.5000  4 Nb 3.01
Nb 0.0000 0.5000 0.0000  2 Y 2.66

Values from the calculation:
* VASP energy: -6.645 eV/atom



Summary of formation energy from the elements in eV per atom
-0.42, -0.44, -0.45, -0.17, -0.20, 2.72
(order as listed above)